(1)
# Y2AlIrSe | Alexandria via LeMat-Bulk | PBE-GGA | relaxed
# DOS at the Fermi energy: 4.0 states/eV per cell
# formation energy from raw total energies: -97 meV per atom
data_Y2AlIrSe
_cell_length_a 5.408
_cell_length_b 5.408
_cell_length_c 4.732
_cell_angle_alpha 90.00
_cell_angle_beta 90.00
_cell_angle_gamma 90.00
_space_group_name_H-M_alt 'P 4/m m m'
_space_group_IT_number 123
_space_group_name_Hall '-P 4 2'
loop_
_atom_site_label
_atom_site_fract_x
_atom_site_fract_y
_atom_site_fract_z
_atom_site_occupancy
Y1 0.000 0.500 0.000 1
Al1 0.000 0.000 0.500 1
Ir1 0.500 0.500 0.000 1
Se1 0.500 0.500 0.500 1



(2)
# CdBPd2Pt | Alexandria via LeMat-Bulk | PBE-GGA | relaxed
# DOS at the Fermi energy: 2.1 states/eV per cell
# DFT formation energy: -0.3209 eV per atom
data_CdBPd2Pt
_cell_length_a 4.259
_cell_length_b 4.259
_cell_length_c 4.174
_cell_angle_alpha 90.00
_cell_angle_beta 90.00
_cell_angle_gamma 90.00
_space_group_name_H-M_alt 'P 4/m m m'
_space_group_IT_number 123
_space_group_name_Hall '-P 4 2'
loop_
_atom_site_label
_atom_site_fract_x
_atom_site_fract_y
_atom_site_fract_z
_atom_site_occupancy
Cd1 0.000 0.000 0.000 1
B1 0.500 0.500 0.500 1
Pd1 0.000 0.500 0.500 1
Pt1 0.500 0.500 0.000 1



(3)
# Pm3GaI3 | Alexandria via LeMat-Bulk | PBE-GGA | relaxed
# polymorph energy (0 for the lowest one): 98 meV/atom
# DOS at the Fermi energy: 2.4 states/eV per cell
# formation energy from raw total energies: -984 meV per atom
data_Pm3GaI3
_cell_length_a 6.219
_cell_length_b 6.219
_cell_length_c 6.219
_cell_angle_alpha 90.00
_cell_angle_beta 90.00
_cell_angle_gamma 90.00
_space_group_name_H-M_alt 'P m -3 m'
_space_group_IT_number 221
_space_group_name_Hall '-P 4 2 3'
loop_
_atom_site_label
_atom_site_fract_x
_atom_site_fract_y
_atom_site_fract_z
_atom_site_occupancy
Pm1 0.000 0.000 0.500 1
Ga1 0.000 0.000 0.000 1
I1 0.000 0.500 0.500 1



(4)
# Zn2SiAg | Alexandria via LeMat-Bulk | PBE-GGA | relaxed
# DOS at the Fermi energy: 2.6 states/eV per cell
# formation energy from raw total energies: 188 meV per atom
data_Zn2SiAg
_cell_length_a 3.997
_cell_length_b 3.997
_cell_length_c 7.976
_cell_angle_alpha 90.00
_cell_angle_beta 90.00
_cell_angle_gamma 90.00
_space_group_name_H-M_alt 'I 4/m m m'
_space_group_IT_number 139
_space_group_name_Hall '-I 4 2'
loop_
_atom_site_label
_atom_site_fract_x
_atom_site_fract_y
_atom_site_fract_z
_atom_site_occupancy
Zn1 0.000 0.500 0.250 1
Si1 0.000 0.000 0.000 1
Ag1 0.000 0.000 0.500 1



(5)
# PuTlAgGe | Alexandria via LeMat-Bulk | PBE-GGA | relaxed
# DOS at the Fermi energy: 48.3 states/eV per cell
# DFT formation energy: -0.0326 eV per atom
data_PuTlAgGe
_cell_length_a 7.152
_cell_length_b 7.152
_cell_length_c 7.152
_cell_angle_alpha 90.00
_cell_angle_beta 90.00
_cell_angle_gamma 90.00
_space_group_name_H-M_alt 'F -4 3 m'
_space_group_IT_number 216
_space_group_name_Hall 'F -4 2 3'
loop_
_atom_site_label
_atom_site_fract_x
_atom_site_fract_y
_atom_site_fract_z
_atom_site_occupancy
Pu1 0.000 0.000 0.000 1
Tl1 0.250 0.250 0.250 1
Ag1 0.000 0.000 0.500 1
Ge1 0.250 0.250 0.750 1



(6)
# IrPdPt2 | Alexandria via LeMat-Bulk | PBE-GGA | relaxed
# polymorph energy (0 for the lowest one): 560 meV/atom
# DOS at the Fermi energy: 17.3 states/eV per cell
# DFT formation energy: 0.5802 eV per atom
data_IrPdPt2
_cell_length_a 3.6668
_cell_length_b 3.6668
_cell_length_c 18.4599
_cell_angle_alpha 90.00
_cell_angle_beta 90.00
_cell_angle_gamma 120.00
_space_group_name_H-M_alt 'R -3 m'
_space_group_IT_number 166
_space_group_name_Hall '-R 3 2"'
loop_
_atom_site_label
_atom_site_fract_x
_atom_site_fract_y
_atom_site_fract_z
_atom_site_occupancy
Ir1 0.0000 0.0000 0.0000 1
Pd1 0.0000 0.0000 0.5000 1
Pt1 0.0000 0.0000 0.2567 1



(7)
# RbCdPt2 | Alexandria via LeMat-Bulk | PBE-GGA | relaxed
# DOS at the Fermi energy: 10.8 states/eV per cell
# DFT formation energy: 0.0452 eV per atom
data_RbCdPt2
_cell_length_a 5.113
_cell_length_b 5.113
_cell_length_c 18.801
_cell_angle_alpha 90.00
_cell_angle_beta 90.00
_cell_angle_gamma 90.00
_space_group_name_H-M_alt 'I -4 2 d'
_space_group_IT_number 122
_space_group_name_Hall 'I -4 2bw'
loop_
_atom_site_label
_atom_site_fract_x
_atom_site_fract_y
_atom_site_fract_z
_atom_site_occupancy
Rb1 0.000 0.000 0.000 1
Cd1 0.000 0.000 0.500 1
Pt1 0.045 0.250 0.625 1



(8)
# SrCuSb2 | Alexandria via LeMat-Bulk | PBE-GGA | relaxed
# DOS at the Fermi energy: 4.6 states/eV per cell
# formation energy from raw total energies: -139 meV per atom
data_SrCuSb2
_cell_length_a 4.539
_cell_length_b 4.539
_cell_length_c 10.038
_cell_angle_alpha 90.00
_cell_angle_beta 90.00
_cell_angle_gamma 90.00
_space_group_name_H-M_alt 'I -4 m 2'
_space_group_IT_number 119
_space_group_name_Hall 'I -4 -2'
loop_
_atom_site_label
_atom_site_fract_x
_atom_site_fract_y
_atom_site_fract_z
_atom_site_occupancy
Sr1 0.000 0.000 0.000 1
Cu1 0.000 0.500 0.750 1
Sb1 0.000 0.000 0.500 1
Sb2 0.000 0.500 0.250 1



(9)
# CaTmCdAg | Alexandria via LeMat-Bulk | PBE-GGA | relaxed
# polymorph energy (0 for the lowest one): 0 meV/atom
# DOS at the Fermi energy: 3.5 states/eV per cell
# DFT formation energy: -0.3215 eV per atom
data_CaTmCdAg
_cell_length_a 3.665
_cell_length_b 3.665
_cell_length_c 7.563
_cell_angle_alpha 90.00
_cell_angle_beta 90.00
_cell_angle_gamma 90.00
_space_group_name_H-M_alt 'P 4 m m'
_space_group_IT_number 99
loop_
_space_group_symop_operation_xyz
'x,y,z'
'-y,x,z'
'-x,-y,z'
'y,-x,z'
'-x,y,z'
'y,x,z'
'x,-y,z'
'-y,-x,z'
loop_
_atom_site_label
_atom_site_fract_x
_atom_site_fract_y
_atom_site_fract_z
_atom_site_occupancy
Ca1 0.000 0.000 0.000 1
Tm1 0.000 0.000 0.477 1
Cd1 0.500 0.500 0.725 1
Ag1 0.500 0.500 0.263 1



(10)
# Ba2CdInHg6 | Alexandria via LeMat-Bulk | PBE-GGA | relaxed
# DOS at the Fermi energy: 23.7 states/eV per cell
# DFT formation energy: -0.1711 eV per atom
data_Ba2CdInHg6
_cell_length_a 11.165
_cell_length_b 11.165
_cell_length_c 11.165
_cell_angle_alpha 90.00
_cell_angle_beta 90.00
_cell_angle_gamma 90.00
_space_group_name_H-M_alt 'F m -3 m'
_space_group_IT_number 225
_space_group_name_Hall '-F 4 2 3'
loop_
_atom_site_label
_atom_site_fract_x
_atom_site_fract_y
_atom_site_fract_z
_atom_site_occupancy
Ba1 0.250 0.250 0.250 1
Cd1 0.000 0.000 0.000 1
In1 0.000 0.000 0.500 1
Hg1 0.000 0.000 0.248 1



(11)
# Rb2CePb2O6 | Alexandria via LeMat-Bulk | PBE-GGA | relaxed
# formation energy from raw total energies: -1657 meV per atom
data_Rb2CePb2O6
_cell_length_a 10.957
_cell_length_b 6.561
_cell_length_c 7.529
_cell_angle_alpha 90.00
_cell_angle_beta 120.65
_cell_angle_gamma 90.00
_space_group_name_H-M_alt 'C 1 2/m 1'
_space_group_IT_number 12
loop_
_space_group_symop_operation_xyz
'x,y,z'
'-x,-y,-z'
'-x,y,-z'
'x,-y,z'
'x+1/2,y+1/2,z'
'-x+1/2,-y+1/2,-z'
'-x+1/2,y+1/2,-z'
'x+1/2,-y+1/2,z'
loop_
_atom_site_label
_atom_site_fract_x
_atom_site_fract_y
_atom_site_fract_z
_atom_site_occupancy
Rb1 0.202 0.000 0.161 1
Ce1 0.000 0.000 0.500 1
Pb1 0.054 0.500 0.227 1
O1 0.049 0.241 0.744 1
O2 0.227 0.000 0.573 1



(12)
# CsIn6Hg | Alexandria via LeMat-Bulk | PBE-GGA | relaxed
# polymorph energy (0 for the lowest one): 0 meV/atom
# DOS at the Fermi energy: 2.4 states/eV per cell
# DFT formation energy: -0.0831 eV per atom
data_CsIn6Hg
_cell_length_a 5.282
_cell_length_b 5.282
_cell_length_c 9.162
_cell_angle_alpha 90.00
_cell_angle_beta 90.00
_cell_angle_gamma 90.00
_space_group_name_H-M_alt 'P 4/m m m'
_space_group_IT_number 123
_space_group_name_Hall '-P 4 2'
loop_
_atom_site_label
_atom_site_fract_x
_atom_site_fract_y
_atom_site_fract_z
_atom_site_occupancy
Cs1 0.000 0.000 0.000 1
In1 0.000 0.500 0.330 1
In2 0.500 0.500 0.163 1
Hg1 0.000 0.000 0.500 1